No. 1
Density functional theory data (PBE) for a geometry-optimized NaCuIO2 structure.

Results
The energy relative to the elements, uncorrected is 0.5048 eV per atom. For the energy above the most stable polymorph in this dataset, the calculation gives 15.49 kcal/mol of atoms. Its crystal system is tetragonal. The theoretical density is 3.631 Mg/m³. The density of states at the Fermi level comes out at 6.1 states/eV per cell. The electronic total energy comes out at -2.87 eV/atom.

Lattice parameters (Å, degrees): 4.197 4.197 6.373 90.00 90.00 90.00
Space group P4/mmm (No. 123)
Symmetry-distinct sites (fractional):
Na: 0.000 0.000 0.000
Cu: 0.500 0.500 0.500
I: 0.000 0.000 0.500
O: 0.000 0.500 0.000

No. 2
Density functional theory data (PBE) for a geometry-optimized Na2CuIO6 structure.

Results
The energy relative to the elements, uncorrected is -0.7967 eV per atom. Its crystal system is monoclinic. The theoretical density is 4.351 Mg/m³. The electronic total energy comes out at -4.60 eV/atom.

Lattice parameters (Å, degrees): 11.032 5.219 4.721 90.00 111.03 90.00
Space group C2/m (No. 12)
Symmetry-distinct sites (fractional):
Na: 0.241 0.000 0.194
Cu: 0.000 0.000 0.500
I: 0.000 0.500 0.000
O: 0.072 0.242 0.806
O: 0.166 0.500 0.288

No. 3
Density functional theory data (PBE) for a geometry-optimized NaCuI2O structure.

Results
The energy relative to the elements, uncorrected is -0.4204 eV per atom. For the energy above the most stable polymorph in this dataset, the calculation gives 0.00 kcal/mol of atoms. Its crystal system is tetragonal. The theoretical density is 4.572 Mg/m³. The density of states at the Fermi level comes out at 1.8 states/eV per cell. The electronic total energy comes out at -3.12 eV/atom.

Lattice parameters (Å, degrees): 6.028 6.028 3.562 90.00 90.00 90.00
Space group P4/mmm (No. 123)
Symmetry-distinct sites (fractional):
Na: 0.000 0.000 0.000
Cu: 0.500 0.500 0.500
I: 0.000 0.500 0.500
O: 0.500 0.500 0.000

No. 4
Density functional theory data (PBE) for a geometry-optimized Na5CuIO2 structure.

Results
The energy relative to the elements, uncorrected is -1.0093 eV per atom. Its crystal system is tetragonal. The theoretical density is 2.924 Mg/m³. The density of states at the Fermi level comes out at 0.9 states/eV per cell. The electronic total energy comes out at -3.47 eV/atom.

Lattice parameters (Å, degrees): 4.788 4.788 8.359 90.00 90.00 90.00
Space group P4/mmm (No. 123)
Symmetry-distinct sites (fractional):
Na: 0.000 0.000 0.000
Na: 0.000 0.500 0.294
Cu: 0.000 0.000 0.500
I: 0.500 0.500 0.000
O: 0.000 0.000 0.277

No. 5
Density functional theory data (PBE) for a geometry-optimized Na2CuPI structure.

Results
The energy relative to the elements, uncorrected is -0.3390 eV per atom. Its crystal system is tetragonal. The theoretical density is 3.146 Mg/m³. The density of states at the Fermi level comes out at 2.1 states/eV per cell. The electronic total energy comes out at -3.08 eV/atom.

Lattice parameters (Å, degrees): 5.843 5.843 4.134 90.00 90.00 90.00
Space group P4/mmm (No. 123)
Symmetry-distinct sites (fractional):
Na: 0.000 0.500 0.000
Cu: 0.000 0.000 0.000
P: 0.000 0.000 0.500
I: 0.500 0.500 0.500

No. 6
Density functional theory data (PBE) for a geometry-optimized Na2CuPbI5 structure.

Results
The energy relative to the elements, uncorrected is -0.7663 eV per atom. Its crystal system is orthorhombic. The theoretical density is 4.655 Mg/m³. The density of states at the Fermi level comes out at 0.0 states/eV per cell. The electronic total energy comes out at -2.79 eV/atom.

Lattice parameters (Å, degrees): 4.459 20.994 14.499 90.00 90.00 90.00
Space group Cmc2_1 (No. 36)
Symmetry-distinct sites (fractional):
Na: 0.000 0.074 0.000
Na: 0.000 0.105 0.687
Cu: 0.000 0.429 0.774
Pb: 0.000 0.204 0.391
I: 0.000 0.048 0.368
I: 0.000 0.306 0.053
I: 0.000 0.306 0.731
I: 0.000 0.360 0.365
I: 0.000 0.497 0.623

No. 7
Density functional theory data (PBE) for a geometry-optimized NaCu2PbI6 structure.

Results
The energy relative to the elements, uncorrected is -0.4773 eV per atom. Its crystal system is monoclinic. The theoretical density is 4.887 Mg/m³. The density of states at the Fermi level comes out at 52.3 states/eV per cell. The electronic total energy comes out at -2.73 eV/atom.

Lattice parameters (Å, degrees): 14.766 13.594 7.752 90.00 102.30 90.00
Space group C2/c (No. 15)
Symmetry-distinct sites (fractional):
Na: 0.000 0.211 0.250
Cu: 0.192 0.081 0.799
Pb: 0.000 0.397 0.750
I: 0.123 0.408 0.152
I: 0.133 0.242 0.628
I: 0.139 0.068 0.094

No. 8
Density functional theory data (PBE) for a geometry-optimized NaCuPtI2 structure.

Results
The energy relative to the elements, uncorrected is 0.9278 eV per atom. Its crystal system is tetragonal. The theoretical density is 5.527 Mg/m³. The density of states at the Fermi level comes out at 4.9 states/eV per cell. The electronic total energy comes out at -1.98 eV/atom.

Lattice parameters (Å, degrees): 5.657 5.657 5.028 90.00 90.00 90.00
Space group P4/mmm (No. 123)
Symmetry-distinct sites (fractional):
Na: 0.000 0.000 0.000
Cu: 0.500 0.500 0.500
Pt: 0.000 0.000 0.500
I: 0.000 0.500 0.000

No. 9
Density functional theory data (PBE) for a geometry-optimized Rb2NaCuI4 structure.

Results
The energy relative to the elements, uncorrected is -0.9982 eV per atom. Its crystal system is monoclinic. The theoretical density is 3.530 Mg/m³. The density of states at the Fermi level comes out at 0.0 states/eV per cell. The electronic total energy comes out at -2.69 eV/atom.

Lattice parameters (Å, degrees): 14.913 12.903 10.498 90.00 134.54 90.00
Space group C2/c (No. 15)
Symmetry-distinct sites (fractional):
Rb: 0.000 0.000 0.000
Rb: 0.250 0.250 0.000
Na: 0.000 0.500 0.000
Cu: 0.250 0.250 0.500
I: 0.001 0.270 0.523
I: 0.243 0.442 0.493

No. 10
Density functional theory data (PBE) for a geometry-optimized RbNaCuI4 structure.

Results
The energy relative to the elements, uncorrected is -0.8045 eV per atom. Its crystal system is monoclinic. The theoretical density is 4.069 Mg/m³. The density of states at the Fermi level comes out at 2.5 states/eV per cell. The electronic total energy comes out at -2.60 eV/atom.

Lattice parameters (Å, degrees): 8.216 6.973 10.088 90.00 106.29 90.00
Space group P2_1/m (No. 11)
Symmetry-distinct sites (fractional):
Rb: 0.229 0.250 0.435
Na: 0.200 0.250 0.931
Cu: 0.267 0.750 0.176
I: 0.087 0.750 0.357
I: 0.088 0.750 0.919
I: 0.496 0.506 0.773

No. 11
Density functional theory data (PBE) for a geometry-optimized RbNaCuI3 structure.

Results
The energy relative to the elements, uncorrected is -0.9564 eV per atom. Its crystal system is orthorhombic. The theoretical density is 4.116 Mg/m³. The density of states at the Fermi level comes out at 0.0 states/eV per cell. The electronic total energy comes out at -2.80 eV/atom.

Lattice parameters (Å, degrees): 4.567 15.814 12.352 90.00 90.00 90.00
Space group Cmcm (No. 63)
Symmetry-distinct sites (fractional):
Rb: 0.000 0.245 0.250
Na: 0.000 0.500 0.000
Cu: 0.000 0.041 0.750
I: 0.000 0.132 0.572
I: 0.000 0.446 0.750

No. 12
Density functional theory data (PBE) for a geometry-optimized Rb2NaCuI structure.

Results
The energy relative to the elements, uncorrected is 0.0647 eV per atom. Its crystal system is tetragonal. The theoretical density is 2.125 Mg/m³. The density of states at the Fermi level comes out at 3.7 states/eV per cell. The electronic total energy comes out at -1.72 eV/atom.

Lattice parameters (Å, degrees): 7.280 7.280 5.666 90.00 90.00 90.00
Space group P4/mmm (No. 123)
Symmetry-distinct sites (fractional):
Rb: 0.000 0.500 0.000
Na: 0.000 0.000 0.000
Cu: 0.500 0.500 0.500
I: 0.000 0.000 0.500